Entry 1:
VASP calculation (PBE) on a relaxed structure of LaVS2.

Cell lengths 4.706, 4.706, 4.706 Å; angles 60.00, 60.00, 60.00 degrees
Atoms (fractional coordinates):
1 S 0.250 0.250 0.250
2 S 0.750 0.750 0.750
3 La 0.500 0.500 0.500
4 V 0.000 0.000 0.000

Values from the calculation:
Volume   74 Å³ per cell
Uncorrected energy   -26.1 eV/cell
Fermi-level density of states   0.1 states/eV/cell
Total magnetization   0.00 μB/f.u.



Entry 2:
VASP calculation (PBE) on a relaxed structure of La2V2S.

Cell lengths 7.693, 7.693, 3.889 Å; angles 90.00, 90.00, 90.00 degrees
Atoms (fractional coordinates):
1 S 0.000 0.000 0.000
2 S 0.500 0.500 0.000
3 La 0.205 0.705 0.500
4 La 0.705 0.795 0.500
5 La 0.795 0.295 0.500
6 La 0.295 0.205 0.500
7 V 0.412 0.912 0.000
8 V 0.912 0.588 0.000
9 V 0.588 0.088 0.000
10 V 0.088 0.412 0.000

Values from the calculation:
Volume   230 Å³ per cell
Uncorrected energy   -64.5 eV/cell
Fermi-level density of states   4.8 states/eV/cell
Total magnetization   0.00 μB/f.u.



Entry 3:
VASP calculation (PBE) on a relaxed structure of LaV3S.

Cell lengths 4.607, 4.607, 4.607 Å; angles 90.00, 90.00, 90.00 degrees
Each line ends with the local moment (μB).
Atoms (fractional coordinates):
1 S 0.500 0.500 0.500  0.02
2 La 0.000 0.000 0.000  0.05
3 V 0.000 0.500 0.000  0.34
4 V 0.000 0.000 0.500  0.34
5 V 0.500 0.000 0.000  0.34

Values from the calculation:
Volume   98 Å³ per cell
Uncorrected energy   -27.0 eV/cell
Fermi-level density of states   7.6 states/eV/cell
Total magnetization   1.23 μB/f.u.